Material: Rb3Cr2AgBr9
Method: DFT, PBE
State: relaxed

Unit cell a=7.5660 b=7.5660 c=9.3379 alpha=90.00 beta=90.00 gamma=120.00
Each line ends with the local moment (μB).
Positions (direct):
Br 0.1735 0.3471 0.3196  -0.03
Br 0.3471 0.1735 0.6804  -0.03
Br 0.0000 0.5000 0.0000  -0.02
Br 0.8265 0.6529 0.6804  -0.03
Br 0.5000 0.5000 0.0000  -0.02
Br 0.8265 0.1735 0.6804  -0.03
Br 0.5000 0.0000 0.0000  -0.02
Br 0.6529 0.8265 0.3196  -0.03
Br 0.1735 0.8265 0.3196  -0.03
Cr 0.6667 0.3333 0.8349  3.34
Cr 0.3333 0.6667 0.1651  3.34
Rb 0.3333 0.6667 0.6605  0.00
Rb 0.6667 0.3333 0.3395  0.00
Rb 0.0000 0.0000 0.0000  0.00
Ag 0.0000 0.0000 0.5000  -0.04

As for the magnetic moment: 0.467 μB per atom. Its space-group type is P-3m1 (164). The value obtained for the density of states at the Fermi level is 0.200 states/eV per atom. The calculation puts the formation energy (no corrections) at -1.068 eV per atom. For the uncorrected energy, the calculation gives -56.1 eV/cell.